(1)
Compound: SbSO2F5
Source: Alexandria via LeMat-Bulk
Functional: PBE
Structure: relaxed

Lattice parameters (Å, degrees): 10.751 5.939 10.871 68.87 90.00 90.00
Element x y z (fractional)
F 0.040 0.216 0.561
O 0.155 0.614 0.325
F 0.344 0.075 0.841
F 0.429 0.267 0.294
Sb 0.966 0.073 0.732
O 0.345 0.614 0.825
F 0.877 0.968 0.894
F 0.123 0.032 0.106
O 0.258 0.575 0.537
O 0.742 0.425 0.463
O 0.242 0.575 0.037
F 0.074 0.802 0.784
F 0.926 0.198 0.216
F 0.540 0.784 0.939
F 0.574 0.198 0.716
F 0.929 0.733 0.206
Sb 0.534 0.073 0.232
F 0.377 0.032 0.606
F 0.426 0.802 0.284
O 0.655 0.386 0.175
F 0.656 0.925 0.159
Sb 0.034 0.927 0.268
F 0.960 0.784 0.439
F 0.571 0.733 0.706
Sb 0.466 0.927 0.768
F 0.460 0.216 0.061
S 0.759 0.521 0.565
F 0.844 0.925 0.659
S 0.241 0.479 0.435
S 0.741 0.521 0.065
F 0.071 0.267 0.794
O 0.758 0.425 0.963
S 0.259 0.479 0.935
O 0.845 0.386 0.675
F 0.156 0.075 0.341
F 0.623 0.968 0.394

D(E_F)	0.0	states/eV/f.u.
raw formation energy	-43.0	kcal/mol of atoms
total magnetization	0.00	μB per cell
space-group type	P2_1/c, No. 14

(2)
Compound: CdAsW2
Source: Alexandria via LeMat-Bulk
Functional: PBE
Structure: relaxed

Lattice parameters (Å, degrees): 2.881 2.881 8.951 90.00 90.00 111.91
Element x y z (fractional)
W 0.000 0.000 0.027
As 0.500 0.500 0.250
Cd 0.500 0.500 0.750
W 0.000 0.000 0.473

D(E_F)	3.2	states/eV/f.u.
total magnetization	0.00	μB per cell
space-group type	Cmmm, No. 65
energy above the most stable polymorph in this dataset	318.0	meV per atom
formation energy	654	meV per atom